No. 1
{"formula": "LiHg2Sb", "functional": "SCAN", "state": "PBEsol geometry", "lattice_angstrom": [[3.181, 0.000, 0.000], [0.000, 5.404, 0.000], [-0.469, 0.000, 5.218]], "species": ["Li", "Hg", "Hg", "Sb"], "frac_coords": [[0.000, 0.000, 0.000], [0.275, 0.500, 0.238], [0.725, 0.500, 0.762], [0.500, 0.000, 0.500]], "formation_energy_uncorrected_ev_per_atom": -0.17, "dft_energy_ry_per_atom": -3.2465}

No. 2
{"formula": "Li2HgSb", "functional": "SCAN", "state": "PBEsol geometry", "lattice_angstrom": [[3.675, 0.000, 0.000], [0.000, 3.675, 0.000], [0.000, 0.000, 5.910]], "species": ["Li", "Li", "Hg", "Sb"], "frac_coords": [[0.000, 0.000, 0.000], [0.500, 0.500, 0.280], [0.500, 0.500, 0.818], [0.000, 0.000, 0.498]], "formation_energy_uncorrected_ev_per_atom": -0.40, "dft_energy_ry_per_atom": -2.0544}

No. 3
{"formula": "Li2HgSb", "functional": "SCAN", "state": "PBEsol geometry", "lattice_angstrom": [[-3.777, 3.777, 2.983], [3.777, -3.777, 2.983], [3.777, 3.777, -2.983]], "species": ["Li", "Li", "Li", "Li", "Hg", "Hg", "Sb", "Sb"], "frac_coords": [[0.120, 0.125, 0.495], [0.375, 0.880, 0.005], [0.630, 0.625, 0.505], [0.875, 0.370, 0.995], [0.000, 0.000, 0.000], [0.750, 0.250, 0.500], [0.250, 0.750, 0.500], [0.500, 0.500, 0.000]], "formation_energy_uncorrected_ev_per_atom": -0.27, "dft_energy_ry_per_atom": -2.0450}

No. 4
{"formula": "LiHg2Sb", "functional": "SCAN", "state": "PBEsol geometry", "lattice_angstrom": [[4.397, 0.000, 0.000], [0.000, 4.397, 0.000], [0.000, 0.000, 4.463]], "species": ["Li", "Hg", "Hg", "Sb"], "frac_coords": [[0.000, 0.000, 0.000], [0.000, 0.500, 0.500], [0.500, 0.000, 0.500], [0.500, 0.500, 0.000]], "formation_energy_uncorrected_ev_per_atom": -0.16, "dft_energy_ry_per_atom": -3.2451}

No. 5
{"formula": "LiHg2Sb", "functional": "SCAN", "state": "PBEsol geometry", "lattice_angstrom": [[-2.161, 2.161, 4.687], [2.161, -2.161, 4.687], [2.161, 2.161, -4.687]], "species": ["Li", "Hg", "Hg", "Sb"], "frac_coords": [[0.000, 0.000, 0.000], [0.250, 0.750, 0.500], [0.500, 0.500, 0.000], [0.750, 0.250, 0.500]], "formation_energy_uncorrected_ev_per_atom": -0.16, "dft_energy_ry_per_atom": -3.2456}

No. 6
{"formula": "Li2HgSb", "functional": "SCAN", "state": "PBEsol geometry", "lattice_angstrom": [[3.076, 0.000, 0.000], [0.000, 3.955, 0.000], [0.000, 0.000, 6.332]], "species": ["Li", "Li", "Hg", "Sb"], "frac_coords": [[0.000, 0.000, 0.249], [0.000, 0.000, 0.751], [0.500, 0.500, 0.000], [0.500, 0.500, 0.500]], "formation_energy_uncorrected_ev_per_atom": -0.43, "dft_energy_ry_per_atom": -2.0565}

No. 7
{"formula": "Li2HgSb", "functional": "SCAN", "state": "PBEsol geometry", "lattice_angstrom": [[5.002, -1.588, 0.000], [5.002, 1.588, 0.000], [-0.494, 0.000, 4.999]], "species": ["Li", "Li", "Hg", "Sb"], "frac_coords": [[0.000, 0.000, 0.000], [0.241, 0.241, 0.689], [0.742, 0.742, 0.150], [0.499, 0.499, 0.504]], "formation_energy_uncorrected_ev_per_atom": -0.43, "dft_energy_ry_per_atom": -2.0568}

No. 8
{"formula": "LiScHg", "functional": "SCAN", "state": "PBEsol geometry", "lattice_angstrom": [[0.000, 3.112, 3.112], [3.112, 0.000, 3.112], [3.112, 3.112, 0.000]], "species": ["Li", "Sc", "Hg"], "frac_coords": [[0.000, 0.000, 0.000], [0.750, 0.750, 0.750], [0.250, 0.250, 0.250]], "delta_e_f_ev_per_atom": -0.10, "dft_energy_ry_per_atom": -2.0849}

No. 9
{"formula": "LiScHg2", "functional": "SCAN", "state": "PBEsol geometry", "lattice_angstrom": [[5.006, -1.636, 0.000], [5.006, 1.636, 0.000], [-0.811, 0.000, 4.898]], "species": ["Li", "Sc", "Hg", "Hg"], "frac_coords": [[0.000, 0.000, 0.000], [0.767, 0.767, 0.350], [0.257, 0.257, 0.853], [0.507, 0.507, 0.516]], "delta_e_f_ev_per_atom": -0.45, "dft_energy_ry_per_atom": -2.8440}

No. 10
{"formula": "LiScHg2", "functional": "SCAN", "state": "PBEsol geometry", "lattice_angstrom": [[4.886, 0.000, 0.000], [0.000, 4.886, 0.000], [0.000, 0.000, 3.286]], "species": ["Li", "Sc", "Hg", "Hg"], "frac_coords": [[0.000, 0.000, 0.000], [0.500, 0.500, 0.000], [0.000, 0.500, 0.500], [0.500, 0.000, 0.500]], "delta_e_f_ev_per_atom": -0.56, "dft_energy_ry_per_atom": -2.8519}

No. 11
{"formula": "LiSc2Hg", "functional": "SCAN", "state": "PBEsol geometry", "lattice_angstrom": [[4.766, 0.000, 0.000], [0.000, 4.766, 0.000], [0.000, 0.000, 3.557]], "species": ["Li", "Sc", "Sc", "Hg"], "frac_coords": [[0.000, 0.000, 0.000], [0.000, 0.500, 0.500], [0.500, 0.000, 0.500], [0.500, 0.500, 0.000]], "delta_e_f_ev_per_atom": -0.38, "dft_energy_ry_per_atom": -1.8473}

No. 12
{"formula": "LiScHg2", "functional": "SCAN", "state": "PBEsol geometry", "lattice_angstrom": [[0.000, 3.365, 3.365], [3.365, 0.000, 3.365], [3.365, 3.365, 0.000]], "species": ["Li", "Sc", "Hg", "Hg"], "frac_coords": [[0.000, 0.000, 0.000], [0.500, 0.500, 0.500], [0.250, 0.250, 0.250], [0.750, 0.750, 0.750]], "delta_e_f_ev_per_atom": -0.57, "dft_energy_ry_per_atom": -2.8525}

What density of states at the Fermi level values result from the calculations? In sequence: 0.317; 0.132; 0.225; 0.404; 0.308; 0.345; 0.279; 1.085; 0.438; 0.512; 0.720; 0.568 states/eV/atom.